Record 1
The following is a DFT calculation (PBE) of a relaxed MnTl2HgI6 crystal.

Values from the calculation:
- crystal system = monoclinic
- energy relative to the elements, uncorrected (eV per atom) = -0.4342

abc: 8.2629 8.6607 13.3303
angles: 90.00 123.94 90.00
Atoms (fractional coordinates):
Mn 0.0000 0.0000 0.0000
Mn 0.0000 0.5000 0.5000
Tl 0.1838 0.0983 0.7312
Tl 0.1838 0.4017 0.2312
Tl 0.8162 0.5983 0.7688
Tl 0.8162 0.9017 0.2688
Hg 0.5000 0.0000 0.5000
Hg 0.5000 0.5000 0.0000
I 0.1221 0.2157 0.4504
I 0.1221 0.2843 0.9504
I 0.2352 0.6660 0.4483
I 0.2352 0.8340 0.9483
I 0.3782 0.0152 0.2603
I 0.3782 0.4848 0.7603
I 0.6218 0.5152 0.2397
I 0.6218 0.9848 0.7397
I 0.7648 0.1660 0.0517
I 0.7648 0.3340 0.5517
I 0.8779 0.7157 0.0496
I 0.8779 0.7843 0.5496

---

Record 2
The following is a DFT calculation (PBE) of a relaxed Mn2Tl2HgI6 crystal.

Values from the calculation:
- crystal system = triclinic
- energy relative to the elements, uncorrected (eV per atom) = -0.2760

abc: 8.1688 8.2026 9.4889
angles: 65.00 65.23 60.29
Atoms (fractional coordinates):
Mn 0.0369 0.0386 0.3840
Mn 0.9631 0.9614 0.6160
Tl 0.3611 0.3613 0.4162
Tl 0.6389 0.6387 0.5838
Hg 0.5000 0.5000 0.0000
I 0.0120 0.6007 0.7184
I 0.1769 0.0100 0.7182
I 0.3973 0.8290 0.2798
I 0.6027 0.1710 0.7202
I 0.8231 0.9900 0.2818
I 0.9880 0.3993 0.2816

---

Record 3
The following is a DFT calculation (PBE) of a relaxed MnHgW2I crystal.

Values from the calculation:
- crystal system = tetragonal
- energy relative to the elements, uncorrected (eV per atom) = 2.4612
- D(E_F) (states/eV/atom) = 1.603

abc: 5.0967 5.0967 4.8128
angles: 90.00 90.00 90.00
Atoms (fractional coordinates):
Mn 0.0000 0.0000 0.0000
Hg 0.0000 0.0000 0.5000
W 0.0000 0.5000 0.5000
W 0.5000 0.0000 0.5000
I 0.5000 0.5000 0.0000

---

Record 4
The following is a DFT calculation (PBE) of a relaxed Y2MnHgI crystal.

Values from the calculation:
- crystal system = tetragonal
- energy relative to the elements, uncorrected (eV per atom) = 0.4342
- D(E_F) (states/eV/atom) = 0.582

abc: 5.6422 5.6422 4.7840
angles: 90.00 90.00 90.00
Atoms (fractional coordinates):
Y 0.0000 0.5000 0.0000
Y 0.5000 0.0000 0.0000
Mn 0.0000 0.0000 0.5000
Hg 0.5000 0.5000 0.5000
I 0.0000 0.0000 0.0000

---

Record 5
The following is a DFT calculation (PBE) of a relaxed HgMo2I crystal.

Values from the calculation:
- crystal system = cubic
- energy relative to the elements, uncorrected (eV per atom) = 1.0448
- D(E_F) (states/eV/atom) = 1.237

abc: 4.7113 4.7113 4.7113
angles: 60.00 60.00 60.00
Atoms (fractional coordinates):
Hg 0.0000 0.0000 0.0000
Mo 0.2500 0.2500 0.2500
Mo 0.7500 0.7500 0.7500
I 0.5000 0.5000 0.5000

---

Record 6
The following is a DFT calculation (PBE) of a relaxed HgMo2I2 crystal.

Values from the calculation:
- crystal system = tetragonal
- energy relative to the elements, uncorrected (eV per atom) = 0.7934
- D(E_F) (states/eV/atom) = 0.920

abc: 7.5546 7.5546 4.4170
angles: 90.00 90.00 90.00
Atoms (fractional coordinates):
Hg 0.0000 0.0000 0.0000
Hg 0.5000 0.5000 0.0000
Mo 0.1020 0.3980 0.0000
Mo 0.3980 0.8980 0.0000
Mo 0.6020 0.1020 0.0000
Mo 0.8980 0.6020 0.0000
I 0.1636 0.6636 0.5000
I 0.3364 0.1636 0.5000
I 0.6636 0.8364 0.5000
I 0.8364 0.3364 0.5000